First-principles (PBE) data for a geometry-optimized ZnW4Br structure, as listed in Alexandria via LeMat-Bulk.

```
data_ZnW4Br
_chemical_formula_sum 'Zn4 W16 Br4'
_cell_length_a 7.5841
_cell_length_b 7.5841
_cell_length_c 7.5841
_cell_angle_alpha 90.00
_cell_angle_beta 90.00
_cell_angle_gamma 90.00
_symmetry_space_group_name_H-M 'F -4 3 m'
_symmetry_Int_Tables_number 216
_symmetry_space_group_name_Hall 'F -4 2 3'
loop_
_atom_site_label
_atom_site_fract_x
_atom_site_fract_y
_atom_site_fract_z
Zn1 0.0000 0.0000 0.0000
W1 0.1248 0.1248 0.6248
Br1 0.2500 0.2500 0.2500
```

Values from the calculation:
The value obtained for the raw total energy is -7.992 eV/atom. The calculation puts the formation energy without anion corrections at 1.135 eV/atom. As for the magnetization: 0.0 μB per formula unit. For the density of states at the Fermi level, the calculation gives 4.9 states/eV/f.u.